# 1
An optimized crystal structure of Ho8Sb2Rh, computed with PBE-GGA.

Cell lengths 9.598, 9.598, 7.196 Å; angles 97.36, 97.36, 27.92 degrees
Fractional positions:
Ho1 0.002 0.002 0.273
Ho2 0.215 0.215 0.848
Ho3 0.356 0.356 0.465
Ho4 0.405 0.405 0.986
Ho5 0.595 0.595 0.014
Ho6 0.644 0.644 0.535
Ho7 0.785 0.785 0.152
Ho8 0.998 0.998 0.727
Sb1 0.182 0.182 0.273
Sb2 0.818 0.818 0.727
Rh1 0.500 0.500 0.500

Results
ΔE_f (raw): -0.5319 eV per atom

# 2
An optimized crystal structure of LaAlFe2, computed with PBE-GGA.

Cell lengths 5.122, 5.122, 2.900 Å; angles 103.85, 103.85, 106.04 degrees
Fractional positions:
La1 0.000 0.000 0.000
Al1 0.500 0.500 0.000
Fe1 0.000 0.500 0.500
Fe2 0.500 0.000 0.500

Results
Energy relative to the elements: 378.6 meV/atom

# 3
An optimized crystal structure of TiAlNO2, computed with PBE-GGA.

Cell lengths 3.726, 3.726, 4.166 Å; angles 90.00, 90.00, 90.00 degrees
Fractional positions:
Ti1 0.000 0.000 0.000
Al1 0.500 0.500 0.500
N1 0.000 0.000 0.500
O1 0.000 0.500 0.000
O2 0.500 0.000 0.000

Results
ΔE_f (raw): -1.1673 eV per atom

# 4
An optimized crystal structure of Mn3Se4Cl2, computed with PBE-GGA.

Cell lengths 3.438, 3.438, 20.883 Å; angles 90.00, 90.00, 120.00 degrees
Fractional positions:
Mn1 0.000 0.000 0.000
Mn2 0.333 0.667 0.333
Mn3 0.333 0.667 0.667
Se1 0.000 0.000 0.262
Se2 0.000 0.000 0.405
Se3 0.000 0.000 0.595
Se4 0.000 0.000 0.738
Cl1 0.333 0.667 0.076
Cl2 0.333 0.667 0.924

Results
ΔE_f (raw): -0.5330 eV per atom

# 5
An optimized crystal structure of LaRu2Pb, computed with PBE-GGA.

Cell lengths 6.126, 6.126, 6.126 Å; angles 106.74, 106.74, 115.09 degrees
Fractional positions:
La1 0.000 0.000 0.000
La2 0.750 0.250 0.500
Ru1 0.132 0.125 0.507
Ru2 0.375 0.868 0.993
Ru3 0.618 0.625 0.493
Ru4 0.875 0.382 0.007
Pb1 0.250 0.750 0.500
Pb2 0.500 0.500 0.000

Results
Energy relative to the elements: 503.5 meV/atom

# 6
An optimized crystal structure of TiTlSe4, computed with PBE-GGA.

Cell lengths 7.731, 7.731, 6.561 Å; angles 101.72, 101.72, 119.98 degrees
Fractional positions:
Ti1 0.001 0.999 0.750
Ti2 0.999 0.001 0.250
Tl1 0.369 0.631 0.750
Tl2 0.631 0.369 0.250
Se1 0.086 0.786 0.469
Se2 0.181 0.346 0.127
Se3 0.214 0.914 0.031
Se4 0.346 0.181 0.627
Se5 0.654 0.819 0.373
Se6 0.786 0.086 0.969
Se7 0.819 0.654 0.873
Se8 0.914 0.214 0.531

Results
ΔE_f (raw): -0.5653 eV per atom

no.,total magnetization (μB/cell),calculated total energy (eV per atom)
1,0.00,-5.279
2,2.81,-6.020
3,0.00,-7.143
4,9.73,-5.549
5,0.00,-6.293
6,0.00,-4.598